(1)
This record from Alexandria describes crystalline BaNbSbH2 at its relaxed geometry. The functional is GGA-PBE.

Calculated values
Uncorrected energy: -3.897 eV per atom
Magnetization: 2.23 μB per cell

Cell: 4.3157 7.3436 4.3157 Å, 90.00 90.00 90.00°
Last column: nearest neighbours and their distance in Å.
Atoms (fractional coordinates):
Sb 0.0000 0.5000 0.0000  4 Nb 3.05
Nb 0.5000 0.5000 0.5000  4 Sb 3.05
Ba 0.0000 0.0000 0.0000  4 H 2.16
H 0.0000 0.0000 0.5000  2 Ba 2.16
H 0.5000 0.0000 0.0000  2 Ba 2.16

(2)
This record from Alexandria describes crystalline Ba2NbSiH at its relaxed geometry. The functional is GGA-PBE.

Calculated values
Uncorrected energy: -3.942 eV per atom
Magnetization: 0.00 μB per cell

Cell: 6.0498 4.8430 6.0498 Å, 90.00 90.00 90.00°
Last column: nearest neighbours and their distance in Å.
Atoms (fractional coordinates):
H 0.5000 0.5000 0.5000  8 Ba 3.87, 4 Si 4.28
Nb 0.0000 0.0000 0.0000  2 Si 2.42
Si 0.0000 0.5000 0.0000  2 Nb 2.42
Ba 0.0000 0.0000 0.5000  2 Nb 3.02
Ba 0.5000 0.0000 0.0000  2 Nb 3.02

(3)
This record from Alexandria describes crystalline Ba2ZrNbH at its relaxed geometry. The functional is GGA-PBE.

Calculated values
Uncorrected energy: -4.171 eV per atom
Magnetization: 0.00 μB per cell

Cell: 6.4008 4.8951 6.4008 Å, 90.00 90.00 90.00°
Last column: nearest neighbours and their distance in Å.
Atoms (fractional coordinates):
H 0.5000 0.5000 0.5000  8 Ba 4.03
Nb 0.0000 0.0000 0.0000  2 Zr 2.45
Ba 0.0000 0.0000 0.5000  2 Nb 3.20
Ba 0.5000 0.0000 0.0000  2 Nb 3.20
Zr 0.0000 0.5000 0.0000  2 Nb 2.45

(4)
This record from Alexandria describes crystalline BaNd2H7 at its relaxed geometry. The functional is GGA-PBE.

Calculated values
Uncorrected energy: -4.044 eV per atom
Magnetization: 0.00 μB per cell

Cell: 4.0118 4.0118 9.0562 Å, 102.80 102.80 90.00°
Last column: nearest neighbours and their distance in Å.
Atoms (fractional coordinates):
Ba 0.0000 0.0000 0.0000  12 H 2.69-2.84
Nd 0.6667 0.6667 0.3334  8 H 2.28-2.47
Nd 0.3333 0.3333 0.6666  8 H 2.28-2.47
H 0.1040 0.6040 0.2080  2 Nd 2.28, 1 H 2.51
H 0.3960 0.8960 0.7920  2 Nd 2.28, 1 H 2.51
H 0.6040 0.1040 0.2080  2 Nd 2.28, 1 H 2.51
H 0.5000 0.5000 0.0000  8 H 2.69, 4 Ba 2.84, 2 Nd 2.87
H 0.7500 0.2500 0.5000  4 Nd 2.47, 2 H 2.51
H 0.8960 0.3960 0.7920  2 Nd 2.28, 1 H 2.51
H 0.2500 0.7500 0.5000  4 Nd 2.47, 2 H 2.51

Question: Look up the uncorrected energy of the third one.
Answer: -4.171 eV per atom

Question: Which formula does entry 4 have?
Answer: BaNd2H7